This record from Alexandria describes a relaxed BPdBr2 crystal. The functional is PBE.

Cell lengths 6.968, 6.968, 6.968 Å; angles 132.90, 132.90, 68.81 degrees
Fractional positions:
B 0.000 0.000 0.000
B 0.750 0.250 0.500
Pd 0.250 0.750 0.500
Pd 0.500 0.500 0.000
Br 0.064 0.625 0.939
Br 0.375 0.314 0.439
Br 0.686 0.125 0.061
Br 0.875 0.936 0.561

## Properties
Space-group type: I-42d, No. 122
E above lowest polymorph (meV per atom): 0
Energy relative to the elements, uncorrected (kcal/mol of atoms): 18.268
Spin magnetization (μB/atom): 0.0000

This record from Alexandria describes a relaxed Tb6InTc2 crystal. The functional is PBE.

Cell lengths 8.569, 8.569, 8.569 Å; angles 111.83, 111.61, 105.07 degrees
Fractional positions:
Tb 0.021 0.235 0.786
Tb 0.191 0.283 0.474
Tb 0.191 0.717 0.907
Tb 0.317 0.023 0.706
Tb 0.317 0.612 0.294
Tb 0.450 0.235 0.214
Tb 0.550 0.765 0.786
Tb 0.683 0.388 0.706
Tb 0.683 0.977 0.294
Tb 0.809 0.283 0.093
Tb 0.809 0.717 0.526
Tb 0.979 0.765 0.214
In 0.000 0.000 0.000
In 0.500 0.500 0.000
Tc 0.115 0.615 0.500
Tc 0.370 0.000 0.370
Tc 0.630 0.000 0.630
Tc 0.885 0.385 0.500

## Properties
Space-group type: Immm, No. 71
Spin magnetization (μB/atom): 0.0001

This record from Alexandria describes a relaxed LaTbDyHo crystal. The functional is PBE.

Cell lengths 3.429, 5.688, 6.786 Å; angles 90.00, 90.00, 90.00 degrees
Fractional positions:
La 0.000 0.000 0.000
Tb 0.500 0.500 0.263
Dy 0.000 0.500 0.746
Ho 0.000 0.000 0.491

## Properties
Space-group type: Pmm2, No. 25
E above lowest polymorph (meV per atom): 66
Spin magnetization (μB/atom): 0.0000

Looking at density of states at the Fermi level for the records above, in order, we have 2.2 18.3 7.7 states/eV per cell.
Looking at volume for the records above, in order, we have 22.28 26.79 33.09 Å³ per atom.
Looking at final energy for the records above, in order, we have -24.09 -105.60 -17.99 eV for the cell shown.